## 1
Density functional theory data (PBE) for Cd2AsPb after structural relaxation.

DOS(E_F) = 1.4 states/eV/f.u.
Total moment = 0.0 μB per formula unit
Symmetry = Cmmm, No. 65
Calculated density = 8497 kg/m³

Cell lengths 3.406, 3.406, 8.639 Å; angles 90.00, 90.00, 98.68 degrees
Element x y z (fractional)
As  0.500  0.500  0.750
Cd  0.000  0.000  0.970
Pb  0.500  0.500  0.250
Cd  0.000  0.000  0.530

---

## 2
Density functional theory data (PBE) for Cd2AsPb after structural relaxation.

DOS(E_F) = 2.1 states/eV/f.u.
Total moment = 0.0 μB per formula unit
Symmetry = P4mm, No. 99
Calculated density = 8495 kg/m³

Cell lengths 3.759, 3.759, 7.012 Å; angles 90.00, 90.00, 90.00 degrees
Element x y z (fractional)
Pb  0.000  0.000  0.506
As  0.500  0.500  0.797
Cd  0.000  0.000  0.979
Cd  0.500  0.500  0.218

---

## 3
Density functional theory data (PBE) for Cd2AsPb after structural relaxation.

DOS(E_F) = 0.9 states/eV/f.u.
Total moment = 0.0 μB per formula unit
Symmetry = P2/m, No. 10
Calculated density = 8365 kg/m³

Cell lengths 5.187, 3.296, 5.886 Å; angles 90.18, 90.00, 90.00 degrees
Element x y z (fractional)
As  0.500  0.750  0.750
Cd  0.000  0.750  0.000
Cd  0.000  0.750  0.500
Pb  0.500  0.250  0.250

---

Top of the stability list: 2, leading by 0.009 eV/atom.

---

## 1
Density functional theory data (PBE) for Cd2AsPb after structural relaxation.

DOS(E_F) = 1.5 states/eV/f.u.
Total moment = 0.0 μB per formula unit
Symmetry = Pmmm, No. 47
Calculated density = 8506 kg/m³

Cell lengths 4.420, 4.532, 4.940 Å; angles 90.00, 90.00, 90.00 degrees
Element x y z (fractional)
As  0.000  0.500  0.500
Cd  0.000  0.000  0.000
Pb  0.500  0.000  0.500
Cd  0.500  0.500  0.000

---

## 2
Density functional theory data (PBE) for Cd2AsPb after structural relaxation.

DOS(E_F) = 1.3 states/eV/f.u.
Total moment = 0.0 μB per formula unit
Symmetry = P4/mmm, No. 123
Calculated density = 8575 kg/m³

Cell lengths 3.537, 3.537, 7.847 Å; angles 90.00, 90.00, 90.00 degrees
Element x y z (fractional)
Cd  0.000  0.000  0.540
Cd  0.000  0.000  0.960
As  0.500  0.500  0.750
Pb  0.500  0.500  0.250

---

## 3
Density functional theory data (PBE) for Cd2AsPb after structural relaxation.

DOS(E_F) = 1.8 states/eV/f.u.
Total moment = 0.0 μB per formula unit
Symmetry = Cm, No. 8
Calculated density = 8161 kg/m³

Cell lengths 4.220, 4.220, 8.223 Å; angles 83.11, 83.11, 45.27 degrees
Element x y z (fractional)
Cd  0.741  0.741  0.772
As  0.259  0.259  0.230
Pb  0.499  0.499  0.479
Cd  0.000  0.000  0.018

---

Top of the stability list: 3, leading by 0.031 eV/atom.

---

## 1
Density functional theory data (PBE) for Cd3AsPb after structural relaxation.

DOS(E_F) = 5.4 states/eV/f.u.
Total moment = 0.0 μB per formula unit
Symmetry = Pm-3m, No. 221
Calculated density = 6836 kg/m³

Cell lengths 5.319, 5.319, 5.319 Å; angles 90.00, 90.00, 90.00 degrees
Element x y z (fractional)
Cd  0.000  0.500  0.000
Pb  0.500  0.500  0.500
Cd  0.500  0.000  0.000
Cd  0.000  0.000  0.500
As  0.000  0.000  0.000

---

## 2
Density functional theory data (PBE) for Cd3AsPb after structural relaxation.

DOS(E_F) = 4.0 states/eV/f.u.
Total moment = 1.5 μB per formula unit
Symmetry = Pm-3m, No. 221
Calculated density = 5783 kg/m³

Cell lengths 5.624, 5.624, 5.624 Å; angles 90.00, 90.00, 90.00 degrees
Element x y z (fractional)
As  0.500  0.500  0.500
Cd  0.000  0.500  0.000
Cd  0.500  0.000  0.000
Pb  0.000  0.000  0.000
Cd  0.000  0.000  0.500

---

Top of the stability list: 1, leading by 0.393 eV/atom.

---

## 1
Density functional theory data (PBE) for CdAs2Pb2 after structural relaxation.

DOS(E_F) = 2.2 states/eV/f.u.
Total moment = 0.0 μB per formula unit
Symmetry = P4/mbm, No. 127
Calculated density = 8373 kg/m³

Cell lengths 8.488, 8.488, 3.726 Å; angles 90.00, 90.00, 90.00 degrees
Element x y z (fractional)
Pb  0.853  0.647  0.000
As  0.853  0.353  0.500
Pb  0.647  0.147  0.000
As  0.647  0.853  0.500
Pb  0.353  0.853  0.000
Pb  0.147  0.353  0.000
As  0.353  0.147  0.500
Cd  0.000  0.000  0.000
Cd  0.500  0.500  0.000
As  0.147  0.647  0.500

---

## 2
Density functional theory data (PBE) for CdAs2Pb2 after structural relaxation.

DOS(E_F) = 2.7 states/eV/f.u.
Total moment = 0.0 μB per formula unit
Symmetry = I4/mmm, No. 139
Calculated density = 8385 kg/m³

Cell lengths 3.799, 3.799, 9.666 Å; angles 78.67, 78.67, 90.00 degrees
Element x y z (fractional)
As  0.750  0.250  0.500
Pb  0.606  0.606  0.787
As  0.250  0.750  0.500
Pb  0.394  0.394  0.213
Cd  0.000  0.000  0.000

---

## 3
Density functional theory data (PBE) for CdAs2Pb2 after structural relaxation.

DOS(E_F) = 3.4 states/eV/f.u.
Total moment = 0.0 μB per formula unit
Symmetry = P4/mbm, No. 127
Calculated density = 8428 kg/m³

Cell lengths 8.072, 8.072, 4.092 Å; angles 90.00, 90.00, 90.00 degrees
Element x y z (fractional)
Pb  0.147  0.647  0.500
Pb  0.353  0.147  0.500
As  0.170  0.330  0.000
Pb  0.853  0.353  0.500
As  0.830  0.670  0.000
As  0.330  0.830  0.000
As  0.670  0.170  0.000
Cd  0.500  0.500  0.000
Cd  0.000  0.000  0.000
Pb  0.647  0.853  0.500

---

Top of the stability list: 3, leading by 0.032 eV/atom.